{"formula": "Y2TlHg2", "functional": "PBE", "state": "relaxed", "total_energy_ev_per_cell": -32.37, "spacegroup": "I4/mmm (139)", "lattice_angstrom": [[4.932, 0.000, 0.000], [0.000, 4.932, 0.000], [0.000, 0.000, 12.380]], "species": ["Y", "Y", "Y", "Y", "Tl", "Tl", "Hg", "Hg", "Hg", "Hg"], "frac_coords": [[0.000, 0.500, 0.250], [0.000, 0.500, 0.750], [0.500, 0.000, 0.250], [0.500, 0.000, 0.750], [0.000, 0.000, 0.000], [0.500, 0.500, 0.500], [0.000, 0.000, 0.391], [0.000, 0.000, 0.609], [0.500, 0.500, 0.109], [0.500, 0.500, 0.891]]}

---

{"formula": "Nd2DyCd3InGa2", "functional": "PBE", "state": "relaxed", "total_energy_ev_per_cell": -30.12, "spacegroup": "Amm2 (38)", "lattice_angstrom": [[4.575, 0.000, 0.000], [0.000, 6.423, 3.734], [0.000, -6.423, 3.734]], "species": ["Nd", "Nd", "Dy", "Cd", "Cd", "Cd", "In", "Ga", "Ga"], "frac_coords": [[0.000, 0.218, 0.782], [0.000, 0.782, 0.218], [0.000, 0.655, 0.655], [0.500, 0.219, 0.473], [0.500, 0.473, 0.219], [0.500, 0.965, 0.965], [0.000, 0.224, 0.224], [0.500, 0.554, 0.882], [0.500, 0.882, 0.554]]}

---

{"formula": "Nd2AsBrCl", "functional": "PBE", "state": "relaxed", "total_energy_ev_per_cell": -26.76, "spacegroup": "P3m1 (156)", "lattice_angstrom": [[4.196, 0.000, 0.000], [-2.098, 3.633, 0.000], [0.000, 0.000, 10.373]], "species": ["Nd", "Nd", "As", "Br", "Cl"], "frac_coords": [[0.000, 0.000, 0.000], [0.333, 0.667, 0.679], [0.667, 0.333, 0.839], [0.333, 0.667, 0.178], [0.000, 0.000, 0.522]]}

---

{"formula": "TbYSi", "functional": "PBE", "state": "relaxed", "total_energy_ev_per_cell": -71.91, "spacegroup": "F-43m (216)", "lattice_angstrom": [[6.871, 0.000, 0.000], [0.000, 6.871, 0.000], [0.000, 0.000, 6.871]], "species": ["Tb", "Tb", "Tb", "Tb", "Y", "Y", "Y", "Y", "Si", "Si", "Si", "Si"], "frac_coords": [[0.000, 0.000, 0.000], [0.000, 0.500, 0.500], [0.500, 0.000, 0.500], [0.500, 0.500, 0.000], [0.000, 0.000, 0.500], [0.000, 0.500, 0.000], [0.500, 0.000, 0.000], [0.500, 0.500, 0.500], [0.250, 0.250, 0.250], [0.250, 0.750, 0.750], [0.750, 0.250, 0.750], [0.750, 0.750, 0.250]]}

---

{"formula": "DySbN2O", "functional": "PBE", "state": "relaxed", "total_energy_ev_per_cell": -67.66, "spacegroup": "Pmma (51)", "lattice_angstrom": [[5.671, 0.000, 0.000], [0.000, 3.889, 0.000], [0.000, 0.000, 5.791]], "species": ["Dy", "Dy", "Sb", "Sb", "N", "N", "N", "N", "O", "O"], "frac_coords": [[0.250, 0.000, 0.218], [0.750, 0.000, 0.782], [0.250, 0.500, 0.736], [0.750, 0.500, 0.264], [0.000, 0.500, 0.500], [0.250, 0.000, 0.823], [0.500, 0.500, 0.500], [0.750, 0.000, 0.177], [0.000, 0.500, 0.000], [0.500, 0.500, 0.000]]}

---

{"formula": "NaGdSeO", "functional": "PBE", "state": "relaxed", "total_energy_ev_per_cell": -46.56, "spacegroup": "P4/nmm (129)", "de_polymorph_mev_per_atom": 57, "lattice_angstrom": [[4.028, 0.000, 0.000], [0.000, 4.028, 0.000], [0.000, 0.000, 9.543]], "species": ["Na", "Na", "Gd", "Gd", "Se", "Se", "O", "O"], "frac_coords": [[0.250, 0.750, 0.000], [0.750, 0.250, 0.000], [0.250, 0.250, 0.387], [0.750, 0.750, 0.613], [0.250, 0.250, 0.794], [0.750, 0.750, 0.206], [0.250, 0.750, 0.500], [0.750, 0.250, 0.500]]}